1.
Density functional theory data (PBE-GGA) for an optimized crystal structure of Tl4Hg5Pb2. Values from VASP.

Cell and atoms, written as Quantum ESPRESSO input:
```
&SYSTEM
  ibrav = 0, nat = 11, ntyp = 3
/
ATOMIC_SPECIES
Tl 204.38 Tl.upf
Hg 200.59 Hg.upf
Pb 207.20 Pb.upf
CELL_PARAMETERS angstrom
9.211 0.000 0.000
0.000 3.511 0.000
-1.498 0.000 10.173
ATOMIC_POSITIONS crystal
Tl 0.053 0.000 0.355
Tl 0.443 0.000 0.271
Tl 0.557 0.000 0.729
Tl 0.947 0.000 0.645
Hg 0.219 0.500 0.797
Hg 0.317 0.500 0.522
Hg 0.500 0.500 0.000
Hg 0.683 0.500 0.478
Hg 0.781 0.500 0.203
Pb 0.155 0.500 0.094
Pb 0.845 0.500 0.906
```

Output
The total energy comes out at -1.647 eV/atom. The calculated formation energy is 25.2 meV/atom.

***

2.
Density functional theory data (PBE-GGA) for an optimized crystal structure of Tl11Hg5Pb. Values from VASP.

Cell and atoms, written as Quantum ESPRESSO input:
```
&SYSTEM
  ibrav = 0, nat = 17, ntyp = 3
/
ATOMIC_SPECIES
Tl 204.38 Tl.upf
Hg 200.59 Hg.upf
Pb 207.20 Pb.upf
CELL_PARAMETERS angstrom
5.969 -6.672 0.000
5.969 6.672 0.000
-0.546 0.000 6.467
ATOMIC_POSITIONS crystal
Tl 0.000 0.000 0.000
Tl 0.123 0.372 0.380
Tl 0.248 0.677 0.747
Tl 0.323 0.752 0.253
Tl 0.361 0.361 0.965
Tl 0.372 0.123 0.380
Tl 0.628 0.877 0.620
Tl 0.639 0.639 0.035
Tl 0.677 0.248 0.747
Tl 0.752 0.323 0.253
Tl 0.877 0.628 0.620
Hg 0.017 0.342 0.853
Hg 0.342 0.017 0.853
Hg 0.500 0.500 0.500
Hg 0.658 0.983 0.147
Hg 0.983 0.658 0.147
Pb 0.000 0.000 0.500
```

Output
The total energy comes out at -1.820 eV/atom. The calculated formation energy is 18.1 meV/atom.

***

3.
Density functional theory data (PBE-GGA) for an optimized crystal structure of Tl2Hg5Pb4. Values from VASP.

Cell and atoms, written as Quantum ESPRESSO input:
```
&SYSTEM
  ibrav = 0, nat = 11, ntyp = 3
/
ATOMIC_SPECIES
Tl 204.38 Tl.upf
Hg 200.59 Hg.upf
Pb 207.20 Pb.upf
CELL_PARAMETERS angstrom
11.591 -1.662 0.000
11.591 1.662 0.000
-1.018 0.000 8.433
ATOMIC_POSITIONS crystal
Tl 0.091 0.091 0.211
Tl 0.909 0.909 0.789
Hg 0.000 0.000 0.500
Hg 0.317 0.317 0.039
Hg 0.370 0.370 0.435
Hg 0.630 0.630 0.565
Hg 0.683 0.683 0.961
Pb 0.236 0.236 0.319
Pb 0.456 0.456 0.154
Pb 0.544 0.544 0.846
Pb 0.764 0.764 0.681
```

Output
The total energy comes out at -1.879 eV/atom. The calculated formation energy is 37.2 meV/atom.

***

4.
Density functional theory data (PBE-GGA) for an optimized crystal structure of Tl2Hg2Pb. Values from VASP.

Cell and atoms, written as Quantum ESPRESSO input:
```
&SYSTEM
  ibrav = 0, nat = 5, ntyp = 3
/
ATOMIC_SPECIES
Tl 204.38 Tl.upf
Hg 200.59 Hg.upf
Pb 207.20 Pb.upf
CELL_PARAMETERS angstrom
-2.055 2.055 9.394
2.055 -2.055 9.394
2.055 2.055 -9.394
ATOMIC_POSITIONS crystal
Tl 0.101 0.101 0.000
Tl 0.899 0.899 0.000
Hg 0.250 0.750 0.500
Hg 0.750 0.250 0.500
Pb 0.500 0.500 0.000
```

Output
The total energy comes out at -1.726 eV/atom. The calculated formation energy is 83.0 meV/atom.

***

5.
Density functional theory data (PBE-GGA) for an optimized crystal structure of TlHg3Pb. Values from VASP.

Cell and atoms, written as Quantum ESPRESSO input:
```
&SYSTEM
  ibrav = 0, nat = 10, ntyp = 3
/
ATOMIC_SPECIES
Tl 204.38 Tl.upf
Hg 200.59 Hg.upf
Pb 207.20 Pb.upf
CELL_PARAMETERS angstrom
6.633 0.000 0.000
0.000 7.562 0.000
0.000 0.000 6.059
ATOMIC_POSITIONS crystal
Tl 0.250 0.000 0.243
Tl 0.750 0.000 0.757
Hg 0.250 0.193 0.742
Hg 0.250 0.500 0.055
Hg 0.250 0.807 0.742
Hg 0.750 0.193 0.258
Hg 0.750 0.500 0.945
Hg 0.750 0.807 0.258
Pb 0.000 0.500 0.500
Pb 0.500 0.500 0.500
```

Output
The total energy comes out at -1.350 eV/atom. The calculated formation energy is 45.9 meV/atom.

***

6.
Density functional theory data (PBE-GGA) for an optimized crystal structure of Tl9Hg2Pb3. Values from VASP.

Cell and atoms, written as Quantum ESPRESSO input:
```
&SYSTEM
  ibrav = 0, nat = 14, ntyp = 3
/
ATOMIC_SPECIES
Tl 204.38 Tl.upf
Hg 200.59 Hg.upf
Pb 207.20 Pb.upf
CELL_PARAMETERS angstrom
-2.623 2.623 18.590
2.623 -2.623 18.590
2.623 2.623 -18.590
ATOMIC_POSITIONS crystal
Tl 0.000 0.000 0.000
Tl 0.095 0.095 0.000
Tl 0.198 0.198 0.000
Tl 0.303 0.303 0.000
Tl 0.408 0.408 0.000
Tl 0.592 0.592 0.000
Tl 0.697 0.697 0.000
Tl 0.802 0.802 0.000
Tl 0.905 0.905 0.000
Hg 0.042 0.542 0.500
Hg 0.458 0.958 0.500
Pb 0.250 0.750 0.500
Pb 0.645 0.145 0.500
Pb 0.855 0.355 0.500
```

Output
The total energy comes out at -2.242 eV/atom. The calculated formation energy is 116.9 meV/atom.